VASP calculation (meta-GGA SCAN) on AlInPt2 at its PBEsol-relaxed geometry.

Computed properties:
The space group is Pmmm (47). Its energy of formation is -81 kJ/mol of atoms. The calculation puts the final energy at -46.223 eV per atom.

```
AlInPt2
1.0
2.854 0.000 0.000
0.000 3.234 0.000
0.000 0.000 6.875
Al In Pt
1 1 2
direct
0.000 0.000 0.000
0.000 0.000 0.500
0.500 0.500 0.214
0.500 0.500 0.786
```

=====

VASP calculation (meta-GGA SCAN) on KScRe3 at its PBEsol-relaxed geometry.

Computed properties:
The space group is Pm-3m (221). Its energy of formation is 257 kJ/mol of atoms. The calculation puts the final energy at -44.503 eV per atom.

```
KScRe3
1.0
4.735 0.000 0.000
0.000 4.735 0.000
0.000 0.000 4.735
K Sc Re
1 1 3
direct
0.000 0.000 0.000
0.500 0.500 0.500
0.000 0.500 0.500
0.500 0.000 0.500
0.500 0.500 0.000
```

=====

VASP calculation (meta-GGA SCAN) on LiCd2Pt at its PBEsol-relaxed geometry.

Computed properties:
The space group is P4/mmm (123). Its energy of formation is -40 kJ/mol of atoms. The calculation puts the final energy at -33.769 eV per atom.

```
LiCd2Pt
1.0
4.175 0.000 0.000
0.000 4.175 0.000
0.000 0.000 3.818
Li Cd Pt
1 2 1
direct
0.000 0.000 0.000
0.000 0.500 0.500
0.500 0.000 0.500
0.500 0.500 0.000
```

=====

VASP calculation (meta-GGA SCAN) on TePW2 at its PBEsol-relaxed geometry.

Computed properties:
The space group is Pmmm (47). For the formation energy without anion corrections, the calculation gives 1079.4 meV per atom. The calculation puts the final energy at -45.677 eV per atom.

```
TePW2
1.0
3.158 0.000 0.000
0.000 4.201 0.000
0.000 0.000 5.062
Te P W
1 1 2
direct
0.000 0.000 0.000
0.500 0.000 0.500
0.000 0.500 0.500
0.500 0.500 0.000
```